A plane-wave DFT calculation with GGA+U was carried out for a geometry-optimized NdVP2O8 structure.

Cell and atoms, written as POSCAR:
```
NdVP2O8
1.0
-4.5862 -0.1617 2.3498
2.7113 -4.3349 -0.6627
3.0196 0.9773 5.9608
O V P Nd
8 1 2 1
Direct
0.3333 0.6667 0.5018 O
0.8309 0.1691 0.1982 O
0.8309 0.6617 0.1982 O
0.3383 0.1691 0.1982 O
0.6667 0.3333 0.4982 O
0.1691 0.3383 0.8018 O
0.1691 0.8309 0.8018 O
0.6617 0.8309 0.8018 O
0.0000 0.0000 0.0000 V
0.3333 0.6667 0.7292 P
0.6667 0.3333 0.2708 P
0.0000 0.0000 0.5000 Nd
```

Output
Size of the total moment   2.00 μB/cell
Theoretical density   4.114 Mg/m³
Energy   -92.78 eV for the cell shown

A plane-wave DFT calculation with GGA+U was carried out for a geometry-optimized NaCo2F4 structure.

Cell and atoms, written as POSCAR:
```
NaCo2F4
1.0
5.6547 0.0000 3.2593
1.9780 5.2096 3.1033
0.0907 -0.0145 6.3776
Co F Na
4 8 2
Direct
0.0000 0.5000 0.5000 Co
0.5000 0.0000 0.5000 Co
0.0000 0.0000 0.0000 Co
0.0000 0.0000 0.5000 Co
0.2147 0.2435 0.7435 F
0.7853 0.7565 0.2565 F
0.2364 0.7766 0.7506 F
0.2364 0.2506 0.2766 F
0.2017 0.7565 0.2565 F
0.7636 0.7494 0.7234 F
0.7636 0.2234 0.2494 F
0.7983 0.2435 0.7435 F
0.0000 0.5000 0.0000 Na
0.5000 0.5000 0.0000 Na
```

Output
Size of the total moment   10.02 μB/cell
Theoretical density   3.862 Mg/m³
Energy   -64.99 eV for the cell shown

> Which of these has the highest theoretical density?

NdVP2O8

> Among the records above, which one has the highest theoretical density?

NdVP2O8